! PBE-GGA Sm2Ga3SiAu4, optimized geometry; values from VASP
&SYSTEM
  ibrav = 0, nat = 10, ntyp = 4
/
ATOMIC_SPECIES
Ga 69.72 Ga.upf
Si 28.09 Si.upf
Au 196.97 Au.upf
Sm 150.36 Sm.upf
CELL_PARAMETERS angstrom
-2.401 2.234 -2.961
-1.165 -3.803 -1.924
-8.270 -0.621 6.237
ATOMIC_POSITIONS crystal
Ga 0.500 0.000 0.866
Si 0.500 0.500 0.500
Au 0.000 0.500 0.376
Au 0.000 0.000 0.000
Sm 0.000 0.500 0.748
Ga 0.000 0.500 0.134
Au 0.500 0.500 0.000
Ga 0.000 0.000 0.500
Au 0.500 0.000 0.624
Sm 0.500 0.000 0.252
! Total DFT energy (no corrections) ... -43.0 eV/f.u.
! Formation energy (no corrections) ... -594 meV per atom
! Symmetry ... No. 115

=====

! PBE-GGA SiTePtI2, optimized geometry; values from VASP
&SYSTEM
  ibrav = 0, nat = 5, ntyp = 4
/
ATOMIC_SPECIES
Te 127.60 Te.upf
Pt 195.08 Pt.upf
I 126.90 I.upf
Si 28.09 Si.upf
CELL_PARAMETERS angstrom
5.307 0.000 0.000
0.000 5.307 0.000
0.000 0.000 5.403
ATOMIC_POSITIONS crystal
Te 0.000 0.000 0.500
Pt 0.500 0.500 0.500
I 0.500 0.000 0.000
I 0.000 0.500 0.000
Si 0.000 0.000 0.000
! Total DFT energy (no corrections) ... -13.0 eV/f.u.
! Formation energy (no corrections) ... 943 meV per atom
! Symmetry ... No. 123

=====

! PBE-GGA NaDyInPb, optimized geometry; values from VASP
&SYSTEM
  ibrav = 0, nat = 4, ntyp = 4
/
ATOMIC_SPECIES
Dy 162.50 Dy.upf
Pb 207.20 Pb.upf
In 114.82 In.upf
Na 22.99 Na.upf
CELL_PARAMETERS angstrom
-1.007 -1.089 4.074
-2.739 -3.701 -1.666
4.015 -3.051 0.177
ATOMIC_POSITIONS crystal
Dy 0.000 0.500 0.500
Pb 0.500 0.000 0.500
In 0.500 0.500 0.000
Na 0.000 0.000 0.000
! Total DFT energy (no corrections) ... -13.6 eV/f.u.
! E_form ... -0.299 eV per atom
! Symmetry ... No. 47

=====

! PBE-GGA Mg3GaO, optimized geometry; values from VASP
&SYSTEM
  ibrav = 0, nat = 5, ntyp = 3
/
ATOMIC_SPECIES
Mg 24.30 Mg.upf
Ga 69.72 Ga.upf
O 16.00 O.upf
CELL_PARAMETERS angstrom
-3.354 2.519 2.613
-2.400 -4.209 0.976
2.723 -0.606 4.080
ATOMIC_POSITIONS crystal
Mg 0.000 0.500 0.000
Ga 0.000 0.000 0.000
Mg 0.000 0.000 0.500
Mg 0.500 0.000 0.000
O 0.500 0.500 0.500
! Total DFT energy (no corrections) ... -11.2 eV/f.u.
! Formation energy (no corrections) ... 305 meV per atom
! Symmetry ... No. 221

=====

! PBE-GGA CuHg2GeF, optimized geometry; values from VASP
&SYSTEM
  ibrav = 0, nat = 5, ntyp = 4
/
ATOMIC_SPECIES
Ge 72.64 Ge.upf
Hg 200.59 Hg.upf
F 19.00 F.upf
Cu 63.55 Cu.upf
CELL_PARAMETERS angstrom
-0.280 -2.360 -4.803
0.289 -3.310 1.610
-5.335 -0.254 0.436
ATOMIC_POSITIONS crystal
Ge 0.500 0.500 0.500
Hg 0.500 0.000 0.000
F 0.000 0.500 0.000
Hg 0.000 0.000 0.500
Cu 0.000 0.000 0.000
! Total DFT energy (no corrections) ... -12.1 eV/f.u.
! Formation energy (no corrections) ... -181 meV per atom
! Symmetry ... No. 123

=====

! PBE-GGA CdCoCuH6, optimized geometry; values from VASP
&SYSTEM
  ibrav = 0, nat = 9, ntyp = 4
/
ATOMIC_SPECIES
Cu 63.55 Cu.upf
H 1.01 H.upf
Cd 112.41 Cd.upf
Co 58.93 Co.upf
CELL_PARAMETERS angstrom
4.537 -0.015 -0.130
2.236 3.940 0.230
-0.084 0.128 4.996
ATOMIC_POSITIONS crystal
Cu 0.630 0.631 0.500
H 0.978 0.313 0.345
H 0.312 0.977 0.658
Cd 0.274 0.275 0.000
H 0.596 0.295 0.671
Co 0.297 0.297 0.500
H 0.604 0.013 0.370
H 0.011 0.603 0.629
H 0.298 0.597 0.327
! Total DFT energy (no corrections) ... -31.7 eV/f.u.
! Symmetry ... No. 1

=====

! PBE-GGA SmDy2Y5Tm, optimized geometry; values from VASP
&SYSTEM
  ibrav = 0, nat = 18, ntyp = 4
/
ATOMIC_SPECIES
Y 88.91 Y.upf
Dy 162.50 Dy.upf
Tm 168.93 Tm.upf
Sm 150.36 Sm.upf
CELL_PARAMETERS angstrom
5.613 0.000 0.000
-2.806 10.069 0.000
0.000 0.000 10.500
ATOMIC_POSITIONS crystal
Y 0.016 0.033 0.022
Y 0.698 0.397 0.205
Y 0.302 0.603 0.705
Y 0.278 0.556 0.314
Y 0.613 0.225 0.524
Y 0.722 0.444 0.814
Dy 0.889 0.778 0.236
Tm 0.588 0.177 0.953
Y 0.387 0.775 0.024
Dy 0.111 0.222 0.736
Y 0.984 0.967 0.522
Sm 0.196 0.393 0.014
Tm 0.412 0.823 0.453
Sm 0.804 0.607 0.514
Dy 0.112 0.225 0.318
Dy 0.888 0.775 0.818
Y 0.520 0.041 0.238
Y 0.480 0.959 0.738
! Total DFT energy (no corrections) ... -49.3 eV/f.u.
! E_form ... 0.153 eV per atom
! Symmetry ... No. 36

=====

! PBE-GGA KPu3I8, optimized geometry; values from VASP
&SYSTEM
  ibrav = 0, nat = 12, ntyp = 3
/
ATOMIC_SPECIES
I 126.90 I.upf
Pu 244.00 Pu.upf
K 39.10 K.upf
CELL_PARAMETERS angstrom
9.388 0.000 0.000
-4.694 6.656 -4.661
0.000 -0.177 9.371
ATOMIC_POSITIONS crystal
I 0.722 0.983 0.239
I 0.254 0.507 0.766
I 0.260 0.521 0.238
Pu 0.500 0.000 0.000
I 0.261 0.983 0.239
I 0.746 0.493 0.234
Pu 0.500 0.500 0.000
I 0.740 0.479 0.762
K 0.000 0.000 0.000
I 0.278 0.017 0.761
I 0.739 0.017 0.761
Pu 0.000 0.500 0.000
! Total DFT energy (no corrections) ... -70.4 eV/f.u.
! Formation energy (no corrections) ... -1158 meV per atom
! Symmetry ... No. 12

=====

! PBE-GGA CdSbOs2, optimized geometry; values from VASP
&SYSTEM
  ibrav = 0, nat = 4, ntyp = 3
/
ATOMIC_SPECIES
Sb 121.76 Sb.upf
Cd 112.41 Cd.upf
Os 190.23 Os.upf
CELL_PARAMETERS angstrom
-1.450 -0.167 3.954
-2.381 -1.640 -0.942
1.678 -5.467 0.384
ATOMIC_POSITIONS crystal
Sb 0.500 0.250 0.250
Cd 0.500 0.750 0.750
Os 0.000 0.119 0.006
Os 0.000 0.381 0.494
! Total DFT energy (no corrections) ... -24.5 eV/f.u.
! Formation energy (no corrections) ... 755 meV per atom
! Symmetry ... No. 10

=====

! PBE-GGA Cd2BiPd6, optimized geometry; values from VASP
&SYSTEM
  ibrav = 0, nat = 9, ntyp = 3
/
ATOMIC_SPECIES
Pd 106.42 Pd.upf
Cd 112.41 Cd.upf
Bi 208.98 Bi.upf
CELL_PARAMETERS angstrom
3.002 0.000 -0.109
0.000 7.813 0.000
-1.236 -3.906 7.089
ATOMIC_POSITIONS crystal
Pd 0.500 0.314 0.000
Cd 0.668 0.669 0.337
Cd 0.332 0.331 0.663
Pd 0.166 0.971 0.334
Pd 0.166 0.363 0.334
Pd 0.500 0.686 0.000
Pd 0.834 0.029 0.666
Bi 0.000 0.000 0.000
Pd 0.834 0.637 0.666
! Total DFT energy (no corrections) ... -38.3 eV/f.u.
! E_form ... -0.155 eV per atom
! Symmetry ... No. 12

=====

! PBE-GGA Mg2ScSi, optimized geometry; values from VASP
&SYSTEM
  ibrav = 0, nat = 4, ntyp = 3
/
ATOMIC_SPECIES
Mg 24.30 Mg.upf
Si 28.09 Si.upf
Sc 44.96 Sc.upf
CELL_PARAMETERS angstrom
-0.848 1.745 -5.753
-2.482 -3.502 -4.295
-0.459 2.729 5.404
ATOMIC_POSITIONS crystal
Mg 0.032 0.032 0.000
Mg 0.468 0.468 0.000
Si 0.250 0.750 0.500
Sc 0.750 0.250 0.500
! Total DFT energy (no corrections) ... -15.7 eV/f.u.
! Formation energy (no corrections) ... -179 meV per atom
! Symmetry ... No. 71

=====

! PBE-GGA Pm7Ru2Au2, optimized geometry; values from VASP
&SYSTEM
  ibrav = 0, nat = 11, ntyp = 3
/
ATOMIC_SPECIES
Au 196.97 Au.upf
Pm 145.00 Pm.upf
Ru 101.07 Ru.upf
CELL_PARAMETERS angstrom
-1.072 6.702 0.972
-1.377 0.782 -6.917
-5.916 -3.374 0.796
ATOMIC_POSITIONS crystal
Au 0.180 0.500 0.180
Pm 0.500 0.749 0.500
Pm 0.500 0.251 0.500
Ru 0.298 0.000 0.702
Pm 0.500 0.261 0.000
Pm 0.500 0.739 0.000
Au 0.820 0.500 0.820
Pm 0.000 0.000 0.000
Pm 0.000 0.261 0.500
Pm 0.000 0.739 0.500
Ru 0.702 0.000 0.298
! Total DFT energy (no corrections) ... -61.7 eV/f.u.
! E_form ... -0.308 eV per atom
! Symmetry ... No. 65